! Co2PdRhO6 (PBE+U, optimized geometry); values from VASP
! Uncorrected energy (eV per cell): -59.9
! SG: No. 146
! Total magnetization (Bohr magnetons per cell): 2.94
&SYSTEM
  ibrav = 0, nat = 10, ntyp = 4
/
ATOMIC_SPECIES
Co 58.93 Co.upf
Pd 106.42 Pd.upf
Rh 102.91 Rh.upf
O 16.00 O.upf
CELL_PARAMETERS angstrom
2.551 1.473 4.593
-2.551 1.473 4.593
0.000 -2.946 4.593
ATOMIC_POSITIONS angstrom
Co 0.000 0.000 0.000
Co 0.000 0.000 6.717
Pd 0.000 0.000 2.694
Rh 0.000 0.000 9.498
O -1.784 0.172 5.809
O -0.881 -1.314 8.214
O 0.743 -1.631 5.809
O -0.697 1.420 8.214
O 1.041 1.459 5.809
O 1.578 -0.106 8.214



! VN3F6 (PBE+U, optimized geometry); values from VASP
! Uncorrected energy (eV per cell): -42.9
! SG: No. 225
! Total magnetization (Bohr magnetons per cell): 8.00
&SYSTEM
  ibrav = 0, nat = 10, ntyp = 3
/
ATOMIC_SPECIES
V 50.94 V.upf
N 14.01 N.upf
F 19.00 F.upf
CELL_PARAMETERS angstrom
0.000 4.327 4.327
4.327 0.000 4.327
4.327 4.327 0.000
ATOMIC_POSITIONS angstrom
V 0.000 0.000 0.000
N 2.163 2.163 2.163
N 4.327 4.327 4.327
N 6.490 6.490 6.490
F 4.327 4.327 1.818
F 4.327 1.818 4.327
F 6.835 4.327 4.327
F 1.818 4.327 4.327
F 4.327 6.835 4.327
F 4.327 4.327 6.835